[1]
This record from the Alexandria database describes crystalline NdDyEr2 at its relaxed geometry. The functional is PBE-GGA.

## Properties
The calculation puts the density of states at the Fermi level at 5.6 states/eV/f.u. Its polymorph energy (0 for the lowest one) is 2.29 kJ/mol of atoms. As for the symmetry: P4/mmm, No. 123. As for the energy relative to the elements: 0.024 eV per atom.

Unit cell a=3.561 b=3.561 c=10.056 alpha=90.00 beta=90.00 gamma=90.00
Fractional coordinates of all 4 atoms:
Nd 0.000 0.000 0.000
Dy 0.000 0.000 0.500
Er 0.500 0.500 0.255
Er 0.500 0.500 0.745


[2]
This record from the Alexandria database describes crystalline Nd4DyEr7 at its relaxed geometry. The functional is PBE-GGA.

## Properties
The calculation puts the density of states at the Fermi level at 18.9 states/eV/f.u. Its polymorph energy (0 for the lowest one) is 0.00 kJ/mol of atoms. As for the symmetry: P-1, No. 2. As for the energy relative to the elements: 0.088 eV per atom.

Unit cell a=6.554 b=6.833 c=9.032 alpha=84.58 beta=77.19 gamma=81.38
Fractional coordinates of all 12 atoms:
Nd 0.139 0.308 0.286
Nd 0.336 0.885 0.692
Nd 0.664 0.115 0.308
Nd 0.861 0.692 0.714
Dy 0.500 0.500 0.000
Er 0.011 0.253 0.952
Er 0.181 0.798 0.356
Er 0.314 0.395 0.619
Er 0.500 0.000 0.000
Er 0.686 0.605 0.381
Er 0.819 0.202 0.644
Er 0.989 0.747 0.048


[3]
This record from the Alexandria database describes crystalline NdDy8Er2 at its relaxed geometry. The functional is PBE-GGA.

## Properties
The calculation puts the density of states at the Fermi level at 17.9 states/eV/f.u. Its polymorph energy (0 for the lowest one) is 3.24 kJ/mol of atoms. As for the symmetry: C2/m, No. 12. As for the energy relative to the elements: 0.149 eV per atom.

Unit cell a=10.166 b=10.166 c=5.522 alpha=92.74 beta=92.74 gamma=39.75
Fractional coordinates of all 11 atoms:
Nd 0.000 0.000 0.000
Dy 0.133 0.599 0.268
Dy 0.189 0.189 0.233
Dy 0.401 0.867 0.732
Dy 0.453 0.453 0.762
Dy 0.547 0.547 0.238
Dy 0.599 0.133 0.268
Dy 0.811 0.811 0.767
Dy 0.867 0.401 0.732
Er 0.284 0.284 0.749
Er 0.716 0.716 0.251


[4]
This record from the Alexandria database describes crystalline Nd3Dy5Er4 at its relaxed geometry. The functional is PBE-GGA.

## Properties
The calculation puts the density of states at the Fermi level at 19.3 states/eV/f.u. Its polymorph energy (0 for the lowest one) is 21.32 kJ/mol of atoms. As for the symmetry: C2/m, No. 12. As for the energy relative to the elements: 0.239 eV per atom.

Unit cell a=8.521 b=8.521 c=9.254 alpha=114.39 beta=114.39 gamma=40.59
Fractional coordinates of all 12 atoms:
Nd 0.000 0.000 0.000
Nd 0.292 0.292 0.770
Nd 0.708 0.708 0.230
Dy 0.074 0.074 0.697
Dy 0.172 0.172 0.388
Dy 0.500 0.500 0.000
Dy 0.828 0.828 0.612
Dy 0.926 0.926 0.303
Er 0.291 0.291 0.124
Er 0.419 0.419 0.558
Er 0.581 0.581 0.442
Er 0.709 0.709 0.876


[5]
This record from the Alexandria database describes crystalline Nd12Dy2Er5 at its relaxed geometry. The functional is PBE-GGA.

## Properties
The calculation puts the density of states at the Fermi level at 26.4 states/eV/f.u. As for the symmetry: C2/m, No. 12. As for the energy relative to the elements: 0.120 eV per atom.

Unit cell a=9.226 b=9.226 c=8.742 alpha=91.51 beta=91.51 gamma=60.63
Fractional coordinates of all 19 atoms:
Nd 0.062 0.062 0.342
Nd 0.068 0.676 0.324
Nd 0.166 0.530 0.763
Nd 0.324 0.932 0.676
Nd 0.416 0.416 0.117
Nd 0.470 0.834 0.237
Nd 0.530 0.166 0.763
Nd 0.584 0.584 0.883
Nd 0.676 0.068 0.324
Nd 0.834 0.470 0.237
Nd 0.932 0.324 0.676
Nd 0.938 0.938 0.658
Dy 0.171 0.829 0.000
Dy 0.829 0.171 0.000
Er 0.201 0.201 0.027
Er 0.269 0.269 0.432
Er 0.500 0.500 0.500
Er 0.731 0.731 0.568
Er 0.799 0.799 0.973


[6]
This record from the Alexandria database describes crystalline Nd6Dy4Er at its relaxed geometry. The functional is PBE-GGA.

## Properties
The calculation puts the density of states at the Fermi level at 16.3 states/eV/f.u. As for the symmetry: I-42m, No. 121. As for the energy relative to the elements: 0.297 eV per atom.

Unit cell a=9.607 b=9.607 c=9.607 alpha=138.73 beta=138.73 gamma=59.78
Fractional coordinates of all 11 atoms:
Nd 0.000 0.500 0.500
Nd 0.014 0.632 0.000
Nd 0.368 0.368 0.382
Nd 0.500 0.000 0.500
Nd 0.632 0.014 0.000
Nd 0.986 0.986 0.618
Dy 0.206 0.206 0.647
Dy 0.442 0.794 0.000
Dy 0.558 0.558 0.353
Dy 0.794 0.442 0.000
Er 0.000 0.000 0.000


[7]
This record from the Alexandria database describes crystalline Nd2Dy2Er at its relaxed geometry. The functional is PBE-GGA.

## Properties
The calculation puts the density of states at the Fermi level at 8.7 states/eV/f.u. Its polymorph energy (0 for the lowest one) is 0.00 kJ/mol of atoms. As for the symmetry: C2/c, No. 15. As for the energy relative to the elements: 0.020 eV per atom.

Unit cell a=8.540 b=8.540 c=6.801 alpha=102.97 beta=102.97 gamma=43.52
Fractional coordinates of all 10 atoms:
Nd 0.112 0.285 0.152
Nd 0.285 0.112 0.652
Nd 0.715 0.888 0.348
Nd 0.888 0.715 0.848
Dy 0.319 0.486 0.548
Dy 0.486 0.319 0.048
Dy 0.514 0.681 0.952
Dy 0.681 0.514 0.452
Er 0.084 0.916 0.250
Er 0.916 0.084 0.750


[8]
This record from the Alexandria database describes crystalline Nd5Dy3Er2 at its relaxed geometry. The functional is PBE-GGA.

## Properties
The calculation puts the density of states at the Fermi level at 17.3 states/eV/f.u. Its polymorph energy (0 for the lowest one) is 0.00 kJ/mol of atoms. As for the symmetry: C2/c, No. 15. As for the energy relative to the elements: 0.179 eV per atom.

Unit cell a=9.170 b=9.170 c=10.031 alpha=108.16 beta=108.16 gamma=108.51
Fractional coordinates of all 20 atoms:
Nd 0.019 0.981 0.750
Nd 0.123 0.383 0.759
Nd 0.228 0.772 0.750
Nd 0.383 0.123 0.259
Nd 0.478 0.522 0.250
Nd 0.522 0.478 0.750
Nd 0.617 0.877 0.741
Nd 0.772 0.228 0.250
Nd 0.877 0.617 0.241
Nd 0.981 0.019 0.250
Dy 0.220 0.470 0.443
Dy 0.272 0.728 0.250
Dy 0.470 0.220 0.943
Dy 0.530 0.780 0.057
Dy 0.728 0.272 0.750
Dy 0.780 0.530 0.557
Er 0.024 0.281 0.058
Er 0.281 0.024 0.558
Er 0.719 0.976 0.442
Er 0.976 0.719 0.942


[9]
This record from the Alexandria database describes crystalline Nd5Dy4Er at its relaxed geometry. The functional is PBE-GGA.

## Properties
The calculation puts the density of states at the Fermi level at 13.0 states/eV/f.u. Its polymorph energy (0 for the lowest one) is 0.00 kJ/mol of atoms. As for the symmetry: P-1, No. 2. As for the energy relative to the elements: 0.017 eV per atom.

Unit cell a=3.608 b=9.529 c=10.219 alpha=74.36 beta=89.96 gamma=79.15
Fractional coordinates of all 10 atoms:
Nd 0.000 0.000 0.000
Nd 0.200 0.600 0.100
Nd 0.401 0.199 0.695
Nd 0.599 0.801 0.305
Nd 0.800 0.400 0.900
Dy 0.199 0.601 0.600
Dy 0.400 0.201 0.205
Dy 0.600 0.799 0.795
Dy 0.801 0.399 0.400
Er 0.000 0.000 0.500


[10]
This record from the Alexandria database describes crystalline Nd3Dy4Er4 at its relaxed geometry. The functional is PBE-GGA.

## Properties
The calculation puts the density of states at the Fermi level at 16.7 states/eV/f.u. Its polymorph energy (0 for the lowest one) is 13.45 kJ/mol of atoms. As for the symmetry: Amm2, No. 38. As for the energy relative to the elements: 0.158 eV per atom.

Unit cell a=10.596 b=6.646 c=6.646 alpha=50.72 beta=90.00 gamma=90.00
Fractional coordinates of all 11 atoms:
Nd 0.000 0.000 0.000
Nd 0.292 0.153 0.153
Nd 0.708 0.153 0.153
Dy 0.000 0.703 0.703
Dy 0.214 0.497 0.497
Dy 0.500 0.634 0.634
Dy 0.786 0.497 0.497
Er 0.000 0.302 0.302
Er 0.296 0.848 0.848
Er 0.500 0.361 0.361
Er 0.704 0.848 0.848


[11]
This record from the Alexandria database describes crystalline Nd3Dy2Er6 at its relaxed geometry. The functional is PBE-GGA.

## Properties
The calculation puts the density of states at the Fermi level at 18.5 states/eV/f.u. Its polymorph energy (0 for the lowest one) is 0.00 kJ/mol of atoms. As for the symmetry: C2/m, No. 12. As for the energy relative to the elements: 0.204 eV per atom.

Unit cell a=6.159 b=6.159 c=11.541 alpha=95.19 beta=95.19 gamma=120.13
Fractional coordinates of all 11 atoms:
Nd 0.000 0.000 0.000
Nd 0.336 0.664 0.000
Nd 0.664 0.336 0.000
Dy 0.166 0.834 0.500
Dy 0.834 0.166 0.500
Er 0.086 0.419 0.254
Er 0.249 0.249 0.746
Er 0.419 0.086 0.254
Er 0.581 0.914 0.746
Er 0.751 0.751 0.254
Er 0.914 0.581 0.746


[12]
This record from the Alexandria database describes crystalline Nd2DyEr at its relaxed geometry. The functional is PBE-GGA.

## Properties
The calculation puts the density of states at the Fermi level at 7.1 states/eV/f.u. Its polymorph energy (0 for the lowest one) is 1.07 kJ/mol of atoms. As for the symmetry: Pmmn, No. 59. As for the energy relative to the elements: 0.024 eV per atom.

Unit cell a=5.785 b=7.344 c=6.311 alpha=90.00 beta=90.00 gamma=90.00
Fractional coordinates of all 8 atoms:
Nd 0.250 0.000 0.169
Nd 0.250 0.500 0.169
Nd 0.750 0.000 0.831
Nd 0.750 0.500 0.831
Dy 0.250 0.250 0.665
Dy 0.750 0.750 0.335
Er 0.250 0.750 0.665
Er 0.750 0.250 0.335


[13]
This record from the Alexandria database describes crystalline Nd6Dy3Er at its relaxed geometry. The functional is PBE-GGA.

## Properties
The calculation puts the density of states at the Fermi level at 13.8 states/eV/f.u. Its polymorph energy (0 for the lowest one) is 0.00 kJ/mol of atoms. As for the symmetry: Cmc2_1, No. 36. As for the energy relative to the elements: 0.141 eV per atom.

Unit cell a=11.126 b=11.126 c=6.392 alpha=90.00 beta=90.00 gamma=120.90
Fractional coordinates of all 20 atoms:
Nd 0.036 0.964 0.500
Nd 0.059 0.480 0.027
Nd 0.280 0.720 0.733
Nd 0.288 0.373 0.837
Nd 0.373 0.288 0.337
Nd 0.480 0.059 0.527
Nd 0.520 0.941 0.027
Nd 0.627 0.712 0.837
Nd 0.712 0.627 0.337
Nd 0.720 0.280 0.233
Nd 0.941 0.520 0.527
Nd 0.964 0.036 0.000
Dy 0.054 0.284 0.418
Dy 0.284 0.054 0.918
Dy 0.386 0.614 0.305
Dy 0.614 0.386 0.805
Dy 0.716 0.946 0.418
Dy 0.946 0.716 0.918
Er 0.194 0.806 0.274
Er 0.806 0.194 0.774


[14]
This record from the Alexandria database describes crystalline Nd4DyEr6 at its relaxed geometry. The functional is PBE-GGA.

## Properties
The calculation puts the density of states at the Fermi level at 17.6 states/eV/f.u. Its polymorph energy (0 for the lowest one) is 0.00 kJ/mol of atoms. As for the symmetry: P-6m2, No. 187. As for the energy relative to the elements: 0.165 eV per atom.

Unit cell a=10.957 b=10.957 c=3.522 alpha=90.00 beta=90.00 gamma=120.00
Fractional coordinates of all 11 atoms:
Nd 0.000 0.000 0.000
Nd 0.059 0.529 0.500
Nd 0.471 0.529 0.500
Nd 0.471 0.941 0.500
Dy 0.667 0.333 0.000
Er 0.163 0.326 0.000
Er 0.163 0.837 0.000
Er 0.329 0.165 0.500
Er 0.674 0.837 0.000
Er 0.835 0.165 0.500
Er 0.835 0.671 0.500


[15]
This record from the Alexandria database describes crystalline Nd4Dy3Er5 at its relaxed geometry. The functional is PBE-GGA.

## Properties
The calculation puts the density of states at the Fermi level at 19.4 states/eV/f.u. As for the symmetry: C2/m, No. 12. As for the energy relative to the elements: 0.230 eV per atom.

Unit cell a=8.565 b=8.565 c=9.375 alpha=115.04 beta=115.04 gamma=40.47
Fractional coordinates of all 12 atoms:
Nd 0.085 0.085 0.447
Nd 0.216 0.216 0.883
Nd 0.784 0.784 0.117
Nd 0.915 0.915 0.553
Dy 0.213 0.213 0.238
Dy 0.500 0.500 0.000
Dy 0.787 0.787 0.762
Er 0.000 0.000 0.000
Er 0.330 0.330 0.618
Er 0.430 0.430 0.298
Er 0.570 0.570 0.702
Er 0.670 0.670 0.382


[16]
This record from the Alexandria database describes crystalline Nd5DyEr5 at its relaxed geometry. The functional is PBE-GGA.

## Properties
The calculation puts the density of states at the Fermi level at 18.7 states/eV/f.u. As for the symmetry: C2/m, No. 12. As for the energy relative to the elements: 0.263 eV per atom.

Unit cell a=9.926 b=9.926 c=7.042 alpha=110.63 beta=110.63 gamma=35.00
Fractional coordinates of all 11 atoms:
Nd 0.000 0.000 0.000
Nd 0.324 0.324 0.068
Nd 0.324 0.324 0.579
Nd 0.676 0.676 0.421
Nd 0.676 0.676 0.932
Dy 0.500 0.500 0.000
Er 0.122 0.122 0.623
Er 0.169 0.169 0.170
Er 0.500 0.500 0.500
Er 0.831 0.831 0.830
Er 0.878 0.878 0.377


[17]
This record from the Alexandria database describes crystalline Nd3Dy5Er4 at its relaxed geometry. The functional is PBE-GGA.

## Properties
The calculation puts the density of states at the Fermi level at 15.5 states/eV/f.u. Its polymorph energy (0 for the lowest one) is 0.00 kJ/mol of atoms. As for the symmetry: P-1, No. 2. As for the energy relative to the elements: 0.018 eV per atom.

Unit cell a=6.172 b=7.125 c=8.726 alpha=90.03 beta=90.12 gamma=90.16
Fractional coordinates of all 12 atoms:
Nd 0.000 0.000 0.000
Nd 0.166 0.749 0.666
Nd 0.834 0.251 0.334
Dy 0.000 0.500 0.000
Dy 0.335 0.000 0.333
Dy 0.499 0.252 0.000
Dy 0.501 0.748 0.000
Dy 0.665 0.000 0.667
Er 0.168 0.252 0.666
Er 0.334 0.500 0.333
Er 0.666 0.500 0.667
Er 0.832 0.748 0.334


[18]
This record from the Alexandria database describes crystalline Nd2Dy5Er2 at its relaxed geometry. The functional is PBE-GGA.

## Properties
The calculation puts the density of states at the Fermi level at 13.0 states/eV/f.u. Its polymorph energy (0 for the lowest one) is 1.24 kJ/mol of atoms. As for the symmetry: C2/m, No. 12. As for the energy relative to the elements: 0.229 eV per atom.

Unit cell a=10.978 b=10.978 c=8.197 alpha=99.72 beta=99.72 gamma=18.29
Fractional coordinates of all 9 atoms:
Nd 0.180 0.180 0.146
Nd 0.820 0.820 0.854
Dy 0.000 0.000 0.000
Dy 0.095 0.095 0.733
Dy 0.310 0.310 0.468
Dy 0.690 0.690 0.532
Dy 0.905 0.905 0.267
Er 0.453 0.453 0.644
Er 0.547 0.547 0.356


[19]
This record from the Alexandria database describes crystalline Nd2DyEr4 at its relaxed geometry. The functional is PBE-GGA.

## Properties
The calculation puts the density of states at the Fermi level at 11.5 states/eV/f.u. Its polymorph energy (0 for the lowest one) is 1.76 kJ/mol of atoms. As for the symmetry: P-1, No. 2. As for the energy relative to the elements: 0.087 eV per atom.

Unit cell a=3.510 b=8.576 c=8.589 alpha=61.97 beta=81.72 gamma=88.18
Fractional coordinates of all 7 atoms:
Nd 0.079 0.131 0.277
Nd 0.921 0.869 0.723
Dy 0.500 0.000 0.000
Er 0.122 0.580 0.157
Er 0.465 0.284 0.551
Er 0.535 0.716 0.449
Er 0.878 0.420 0.843


[20]
This record from the Alexandria database describes crystalline Nd6Dy3Er at its relaxed geometry. The functional is PBE-GGA.

## Properties
The calculation puts the density of states at the Fermi level at 15.0 states/eV/f.u. Its polymorph energy (0 for the lowest one) is 7.29 kJ/mol of atoms. As for the symmetry: P2_1/c, No. 14. As for the energy relative to the elements: 0.216 eV per atom.

Unit cell a=5.500 b=10.354 c=12.482 alpha=90.00 beta=100.50 gamma=90.00
Fractional coordinates of all 20 atoms:
Nd 0.006 0.186 0.004
Nd 0.006 0.314 0.504
Nd 0.103 0.004 0.770
Nd 0.103 0.496 0.270
Nd 0.423 0.171 0.356
Nd 0.423 0.329 0.856
Nd 0.577 0.671 0.144
Nd 0.577 0.829 0.644
Nd 0.897 0.504 0.730
Nd 0.897 0.996 0.230
Nd 0.994 0.686 0.496
Nd 0.994 0.814 0.996
Dy 0.423 0.668 0.864
Dy 0.423 0.832 0.364
Dy 0.500 0.000 0.000
Dy 0.500 0.500 0.500
Dy 0.577 0.168 0.636
Dy 0.577 0.332 0.136
Er 0.000 0.000 0.500
Er 0.000 0.500 0.000